1.
Entry from OQMD: a geometry-optimized Fe2Ge3 structure (GGA-PBE).

crystal system: trigonal

Lattice parameters (Å, degrees): 5.399 5.399 6.729 113.65 66.35 120.00
Positions (direct):
Ge: 0.750 0.894 0.750
Ge: 0.394 0.250 0.750
Ge: 0.106 0.606 0.750
Ge: 0.606 0.750 0.250
Ge: 0.894 0.394 0.250
Ge: 0.250 0.106 0.250
Fe: 0.831 0.169 0.507
Fe: 0.331 0.669 0.007
Fe: 0.669 0.331 0.993
Fe: 0.169 0.831 0.493

***

2.
Entry from OQMD: a geometry-optimized FeGe structure (GGA-PBE).

crystal system: cubic

Lattice parameters (Å, degrees): 3.490 3.490 3.490 60.00 60.00 60.00
Each line ends with the local moment (μB).
Positions (direct):
Ge: 0.500 0.500 0.500  -0.10
Fe: 0.000 0.000 0.000  2.16

***

3.
Entry from OQMD: a geometry-optimized FeGe structure (GGA-PBE).

crystal system: cubic

Lattice parameters (Å, degrees): 3.834 3.834 3.834 60.00 60.00 60.00
Each line ends with the local moment (μB).
Positions (direct):
Ge: 0.250 0.250 0.250  -0.18
Fe: 0.000 0.000 0.000  2.11

***

4.
Entry from OQMD: a geometry-optimized FeGe structure (GGA-PBE).

crystal system: hexagonal

Lattice parameters (Å, degrees): 2.923 2.923 3.598 90.00 90.00 120.00
Each line ends with the local moment (μB).
Positions (direct):
Ge: 0.333 0.667 0.250  -0.07
Fe: 0.667 0.333 0.750  1.60

***

| no. | energy (Ry/atom) | M_tot (μB per atom) |
| --- | --- | --- |
| 1 | -0.4498 | 0.001 |
| 2 | -0.4487 | 1.014 |
| 3 | -0.4188 | 0.942 |
| 4 | -0.4752 | 0.752 |